# PBE-GGA Hg2IrAu, relaxed
data_Hg2IrAu
_cell_length_a 3.020
_cell_length_b 3.020
_cell_length_c 8.476
_cell_angle_alpha 90.00
_cell_angle_beta 90.00
_cell_angle_gamma 90.00
_space_group_name_H-M_alt 'P 4 m m'
_space_group_IT_number 99
loop_
_space_group_symop_operation_xyz
'x,y,z'
'-y,x,z'
'-x,-y,z'
'y,-x,z'
'-x,y,z'
'y,x,z'
'x,-y,z'
'-y,-x,z'
loop_
_atom_site_label
_atom_site_fract_x
_atom_site_fract_y
_atom_site_fract_z
Hg1 0.000 0.000 0.000
Hg2 0.500 0.500 0.297
Ir1 0.000 0.000 0.524
Au1 0.500 0.500 0.742
# ρ in g cm⁻³: 16.98
# Energy in hartree per atom: -0.1018
# Calculated formation energy in meV per atom: 416